(1)
The following is a DFT calculation (meta-GGA SCAN) of YAs2RhBr at its PBEsol-relaxed geometry.

Cell: 5.338 5.338 5.232 Å, 90.00 90.00 90.00°
Space group P4/mmm (No. 123)
Inequivalent atoms, fractional coordinates:
Y: 0.000 0.000 0.000 (multiplicity 1)
As: 0.000 0.500 0.000 (multiplicity 2)
Rh: 0.500 0.500 0.500 (multiplicity 1)
Br: 0.000 0.000 0.500 (multiplicity 1)

Magnetization in Bohr magnetons per cell: 0.963
Theoretical density in g cm⁻³: 4.70
Electronic total energy in eV per cell: -118.44
V in A^3/atom: 29.813
Raw formation energy in eV/atom: 0.603



(2)
The following is a DFT calculation (meta-GGA SCAN) of AsRuBr2 at its PBEsol-relaxed geometry.

Cell: 9.148 9.148 4.633 Å, 90.00 90.00 90.00°
Space group I-42d (No. 122)
Inequivalent atoms, fractional coordinates:
As: 0.000 0.000 0.000 (multiplicity 4)
Ru: 0.000 0.000 0.500 (multiplicity 4)
Br: 0.109 0.750 0.625 (multiplicity 8)

Magnetization in Bohr magnetons per cell: 0.929
Theoretical density in g cm⁻³: 5.75
Electronic total energy in eV per cell: -373.75
V in A^3/atom: 24.233
Raw formation energy in eV/atom: 0.125
Polymorph energy (0 for the lowest one) in eV/atom: 0.000



(3)
The following is a DFT calculation (meta-GGA SCAN) of AsRu2Br at its PBEsol-relaxed geometry.

Cell: 2.832 5.008 9.733 Å, 90.00 90.00 90.00°
Space group Cmm2 (No. 35)
Inequivalent atoms, fractional coordinates:
As: 0.000 0.000 0.000 (multiplicity 2)
Ru: 0.000 0.000 0.569 (multiplicity 2)
Ru: 0.000 0.500 0.789 (multiplicity 2)
Br: 0.000 0.500 0.346 (multiplicity 2)

Magnetization in Bohr magnetons per cell: 0.007
Theoretical density in g cm⁻³: 8.59
Electronic total energy in eV per cell: -213.50
V in A^3/atom: 17.255
Raw formation energy in eV/atom: 0.638
Polymorph energy (0 for the lowest one) in eV/atom: 0.283



(4)
The following is a DFT calculation (meta-GGA SCAN) of AsRuBr2 at its PBEsol-relaxed geometry.

Cell: 3.133 4.241 13.784 Å, 90.00 90.00 90.00°
Space group Immm (No. 71)
Inequivalent atoms, fractional coordinates:
As: 0.000 0.000 0.000 (multiplicity 2)
Ru: 0.000 0.000 0.500 (multiplicity 2)
Br: 0.000 0.500 0.149 (multiplicity 4)

Magnetization in Bohr magnetons per cell: 0.000
Theoretical density in g cm⁻³: 6.09
Electronic total energy in eV per cell: -186.39
V in A^3/atom: 22.896
Raw formation energy in eV/atom: 0.185
Polymorph energy (0 for the lowest one) in eV/atom: 0.060



(5)
The following is a DFT calculation (meta-GGA SCAN) of AsRuBr2 at its PBEsol-relaxed geometry.

Cell: 2.9047 2.9047 35.2410 Å, 90.00 90.00 120.00°
Space group R-3m (No. 166, hexagonal axes)
Inequivalent atoms, fractional coordinates:
As: 0.0000 0.0000 0.0000 (multiplicity 3)
Ru: 0.0000 0.0000 0.5000 (multiplicity 3)
Br: 0.0000 0.0000 0.4334 (multiplicity 6)

Magnetization in Bohr magnetons per cell: 0.000
Theoretical density in g cm⁻³: 6.50
Electronic total energy in eV per cell: -273.57
V in A^3/atom: 21.459
Raw formation energy in eV/atom: 0.687
Polymorph energy (0 for the lowest one) in eV/atom: 0.562



(6)
The following is a DFT calculation (meta-GGA SCAN) of AsRuBr2 at its PBEsol-relaxed geometry.

Cell: 14.183 3.180 4.117 Å, 90.00 100.75 90.00°
Space group C2/m (No. 12)
Inequivalent atoms, fractional coordinates:
As: 0.000 0.000 0.000 (multiplicity 2)
Ru: 0.000 0.500 0.500 (multiplicity 2)
Br: 0.150 0.000 0.701 (multiplicity 4)

Magnetization in Bohr magnetons per cell: 0.931
Theoretical density in g cm⁻³: 6.11
Electronic total energy in eV per cell: -186.53
V in A^3/atom: 22.803
Raw formation energy in eV/atom: 0.168
Polymorph energy (0 for the lowest one) in eV/atom: 0.043



(7)
The following is a DFT calculation (meta-GGA SCAN) of AsRuBr2 at its PBEsol-relaxed geometry.

Cell: 3.113 4.397 5.570 Å, 90.00 90.00 90.00°
Space group Pmmm (No. 47)
Inequivalent atoms, fractional coordinates:
As: 0.000 0.000 0.000 (multiplicity 1)
Ru: 0.500 0.000 0.500 (multiplicity 1)
Br: 0.000 0.500 0.500 (multiplicity 1)
Br: 0.500 0.500 0.000 (multiplicity 1)

Magnetization in Bohr magnetons per cell: 1.832
Theoretical density in g cm⁻³: 7.31
Electronic total energy in eV per cell: -90.65
V in A^3/atom: 19.058
Raw formation energy in eV/atom: 0.821
Polymorph energy (0 for the lowest one) in eV/atom: 0.696



(8)
The following is a DFT calculation (meta-GGA SCAN) of AsRu2Br at its PBEsol-relaxed geometry.

Cell: 3.0151 3.0151 23.3055 Å, 90.00 90.00 120.00°
Space group R-3m (No. 166, hexagonal axes)
Inequivalent atoms, fractional coordinates:
As: 0.0000 0.0000 0.0000 (multiplicity 3)
Ru: 0.0000 0.0000 0.2569 (multiplicity 6)
Br: 0.0000 0.0000 0.5000 (multiplicity 3)

Magnetization in Bohr magnetons per cell: 0.000
Theoretical density in g cm⁻³: 9.69
Electronic total energy in eV per cell: -323.65
V in A^3/atom: 15.290
Raw formation energy in eV/atom: 0.355
Polymorph energy (0 for the lowest one) in eV/atom: 0.000



(9)
The following is a DFT calculation (meta-GGA SCAN) of ScAs2RuBr at its PBEsol-relaxed geometry.

Cell: 5.034 5.034 4.959 Å, 90.00 90.00 90.00°
Space group P4/mmm (No. 123)
Inequivalent atoms, fractional coordinates:
Sc: 0.000 0.000 0.000 (multiplicity 1)
As: 0.000 0.500 0.000 (multiplicity 2)
Ru: 0.500 0.500 0.500 (multiplicity 1)
Br: 0.000 0.000 0.500 (multiplicity 1)

Magnetization in Bohr magnetons per cell: 2.571
Theoretical density in g cm⁻³: 4.97
Electronic total energy in eV per cell: -105.72
V in A^3/atom: 25.135
Raw formation energy in eV/atom: 0.637



(10)
The following is a DFT calculation (meta-GGA SCAN) of TcAsRuBr2 at its PBEsol-relaxed geometry.

Cell: 5.027 5.027 4.617 Å, 90.00 90.00 90.00°
Space group P4/mmm (No. 123)
Inequivalent atoms, fractional coordinates:
Tc: 0.000 0.000 0.000 (multiplicity 1)
As: 0.500 0.500 0.000 (multiplicity 1)
Ru: 0.500 0.500 0.500 (multiplicity 1)
Br: 0.000 0.500 0.500 (multiplicity 2)

Magnetization in Bohr magnetons per cell: 5.233
Theoretical density in g cm⁻³: 6.17
Electronic total energy in eV per cell: -124.35
V in A^3/atom: 23.334
Raw formation energy in eV/atom: 0.930



(11)
The following is a DFT calculation (meta-GGA SCAN) of AsS2Br at its PBEsol-relaxed geometry.

Cell: 6.564 6.564 6.564 Å, 90.00 90.00 90.00°
Space group Fm-3m (No. 225)
Inequivalent atoms, fractional coordinates:
As: 0.000 0.000 0.000 (multiplicity 4)
S: 0.250 0.250 0.250 (multiplicity 8)
Br: 0.000 0.000 0.500 (multiplicity 4)

Magnetization in Bohr magnetons per cell: 0.000
Theoretical density in g cm⁻³: 5.14
Electronic total energy in eV per cell: -221.90
V in A^3/atom: 17.676
Raw formation energy in eV/atom: 0.858



(12)
The following is a DFT calculation (meta-GGA SCAN) of AsSBr3 at its PBEsol-relaxed geometry.

Cell: 5.071 5.071 5.071 Å, 90.00 90.00 90.00°
Space group Pm-3m (No. 221)
Inequivalent atoms, fractional coordinates:
As: 0.000 0.000 0.000 (multiplicity 1)
S: 0.500 0.500 0.500 (multiplicity 1)
Br: 0.000 0.500 0.500 (multiplicity 3)

Magnetization in Bohr magnetons per cell: 2.302
Theoretical density in g cm⁻³: 4.41
Electronic total energy in eV per cell: -85.06
V in A^3/atom: 26.083
Raw formation energy in eV/atom: 0.627



Question: Among the records above, which one has the lowest electronic total energy?
Answer: number 2



What did the fifth record say?
The following is a DFT calculation (meta-GGA SCAN) of AsRuBr2 at its PBEsol-relaxed geometry.

Cell: 2.9047 2.9047 35.2410 Å, 90.00 90.00 120.00°
Space group R-3m (No. 166, hexagonal axes)
Inequivalent atoms, fractional coordinates:
As: 0.0000 0.0000 0.0000 (multiplicity 3)
Ru: 0.0000 0.0000 0.5000 (multiplicity 3)
Br: 0.0000 0.0000 0.4334 (multiplicity 6)

Magnetization in Bohr magnetons per cell: 0.000
Theoretical density in g cm⁻³: 6.50
Electronic total energy in eV per cell: -273.57
V in A^3/atom: 21.459
Raw formation energy in eV/atom: 0.687
Polymorph energy (0 for the lowest one) in eV/atom: 0.562



Question: What is the formula in the ninth record?
Answer: ScAs2RuBr



Question: What is the raw formation energy in the third record?
Answer: 0.638 eV/atom